Material: PC
Method: DFT, PBE
State: optimized geometry Values from VASP.

Cell and atoms, written as Quantum ESPRESSO input:
```
&SYSTEM
  ibrav = 0, nat = 12, ntyp = 2
/
ATOMIC_SPECIES
P 30.97 P.upf
C 12.01 C.upf
CELL_PARAMETERS angstrom
2.918 0.000 0.000
0.000 11.232 0.000
0.000 0.000 4.210
ATOMIC_POSITIONS angstrom
P 0.730 1.164 0.706
P 0.730 4.452 0.706
P 0.730 8.424 1.483
P 2.189 2.808 2.727
P 2.189 6.780 3.504
P 2.189 10.068 3.504
C 0.730 2.808 3.820
C 0.730 7.021 2.522
C 0.730 9.827 2.522
C 2.189 1.405 1.689
C 2.189 4.211 1.689
C 2.189 8.424 0.390
```

Properties
Formation energy   0.5806 eV per atom
Polymorph energy (0 for the lowest one)   268 meV per atom